Arrangement w

DFT (GGA-PBE) results for a geometry-optimized Nd5HoTm2 structure.

Computed properties:
Crystal system: monoclinic
Magnetization, μB per formula unit: 0.000

Unit cell a=13.3532 b=13.3532 c=6.5342 alpha=91.64 beta=91.64 gamma=152.09
Closest atoms and distances in Å follow each position.
Fractional positions:
Nd1 0.1232 0.4936 0.9964  2 Nd 3.07-3.14, 1 Tm 3.30
Nd2 0.1258 0.8742 0.7500  4 Nd 3.14-3.21
Nd3 0.1614 0.3543 0.6844  3 Nd 3.07-3.21, 1 Tm 3.16
Nd4 0.3543 0.1614 0.1844  3 Nd 3.07-3.21, 1 Tm 3.16
Nd5 0.4936 0.1232 0.4964  2 Nd 3.07-3.14, 1 Tm 3.30
Nd6 0.5064 0.8768 0.5036  2 Nd 3.07-3.14, 1 Tm 3.30
Nd7 0.6457 0.8386 0.8156  3 Nd 3.07-3.21, 1 Tm 3.16
Nd8 0.8386 0.6457 0.3156  3 Nd 3.07-3.21, 1 Tm 3.16
Nd9 0.8742 0.1258 0.2500  4 Nd 3.14-3.21
Nd10 0.8768 0.5064 0.0036  2 Nd 3.07-3.14, 1 Tm 3.30
Ho1 0.4552 0.5448 0.2500  4 Tm 3.62-3.95, 6 Nd 3.65-3.98, 2 Ho 4.01
Ho2 0.5448 0.4552 0.7500  4 Tm 3.62-3.95, 6 Nd 3.65-3.98, 2 Ho 4.01
Tm1 0.0000 0.0000 0.0000  2 Nd 3.16, 2 Tm 3.27
Tm2 0.0000 0.0000 0.5000  2 Nd 3.16, 2 Tm 3.27
Tm3 0.0000 0.5000 0.5000  4 Nd 3.30-3.63
Tm4 0.5000 0.0000 0.0000  4 Nd 3.30-3.63

Arrangement x

DFT (GGA-PBE) results for a geometry-optimized Nd5HoTm2 structure.

Computed properties:
Crystal system: tetragonal
Magnetization, μB per formula unit: 0.357

Unit cell a=9.0911 b=9.0911 c=9.0911 alpha=118.97 beta=118.97 gamma=91.80
Closest atoms and distances in Å follow each position.
Fractional positions:
Nd1 0.0000 0.0000 0.0000  2 Ho 3.16, 4 Tm 3.54
Nd2 0.0136 0.5136 0.1998  3 Tm 3.38-3.43, 3 Nd 3.40-3.53, 2 Ho 3.68
Nd3 0.1862 0.9864 0.5000  3 Tm 3.38-3.43, 3 Nd 3.40-3.53, 2 Ho 3.68
Nd4 0.3138 0.8138 0.8002  3 Tm 3.38-3.43, 3 Nd 3.40-3.53, 2 Ho 3.68
Nd5 0.4864 0.6862 0.5000  3 Tm 3.38-3.43, 3 Nd 3.40-3.53, 2 Ho 3.68
Nd6 0.5000 0.5000 0.0000  2 Ho 3.16, 4 Tm 3.54
Nd7 0.5136 0.3138 0.5000  3 Tm 3.38-3.43, 3 Nd 3.40-3.53, 2 Ho 3.68
Nd8 0.6862 0.1862 0.1998  3 Tm 3.38-3.43, 3 Nd 3.40-3.53, 2 Ho 3.68
Nd9 0.8138 0.0136 0.5000  3 Tm 3.38-3.43, 3 Nd 3.40-3.53, 2 Ho 3.68
Nd10 0.9864 0.4864 0.8002  3 Tm 3.38-3.43, 3 Nd 3.40-3.53, 2 Ho 3.68
Ho1 0.2500 0.2500 0.0000  2 Nd 3.16
Ho2 0.7500 0.7500 0.0000  2 Nd 3.16
Tm1 0.1457 0.3543 0.5000  8 Nd 3.38-3.54
Tm2 0.3543 0.8543 0.2087  8 Nd 3.38-3.54
Tm3 0.6457 0.1457 0.7913  8 Nd 3.38-3.54
Tm4 0.8543 0.6457 0.5000  8 Nd 3.38-3.54

Preferred: arrangement x; penalty for the next structure: 15.2 kJ/mol of atoms.

Arrangement w

DFT (GGA-PBE) results for a geometry-optimized NdHo4Tm5 structure.

Computed properties:
Crystal system: triclinic
Magnetization, μB per formula unit: 0.000

Unit cell a=3.5248 b=6.6101 c=14.0109 alpha=98.46 beta=93.25 gamma=103.89
Closest atoms and distances in Å follow each position.
Fractional positions:
Nd1 0.0000 0.0000 0.0000  4 Ho 3.26-3.52, 2 Tm 3.35, 2 Nd 3.52
Ho1 0.1132 0.8094 0.2188  5 Ho 3.41-3.53, 5 Tm 3.42-3.68, 1 Nd 3.52
Ho2 0.1946 0.7273 0.8034  1 Nd 3.26, 4 Tm 3.38-3.56, 5 Ho 3.41-3.53
Ho3 0.8054 0.2727 0.1966  1 Nd 3.26, 4 Tm 3.38-3.56, 5 Ho 3.41-3.53
Ho4 0.8868 0.1906 0.7812  5 Ho 3.41-3.53, 5 Tm 3.42-3.68, 1 Nd 3.52
Tm1 0.2052 0.8803 0.5832  3 Ho 3.38-3.60, 9 Tm 3.44-3.59
Tm2 0.4913 0.4264 0.6126  4 Ho 3.42-3.55, 8 Tm 3.44-3.59
Tm3 0.5000 0.5000 0.0000  2 Nd 3.35, 2 Tm 3.52, 4 Ho 3.56-3.68
Tm4 0.5087 0.5736 0.3874  4 Ho 3.42-3.55, 8 Tm 3.44-3.59
Tm5 0.7948 0.1197 0.4168  3 Ho 3.38-3.60, 9 Tm 3.44-3.59

Arrangement x

DFT (GGA-PBE) results for a geometry-optimized NdHo4Tm5 structure.

Computed properties:
Crystal system: tetragonal
Magnetization, μB per formula unit: 0.000

Unit cell a=7.8098 b=7.8098 c=7.8098 alpha=99.23 beta=99.23 gamma=132.77
Closest atoms and distances in Å follow each position.
Fractional positions:
Nd1 0.0000 0.0000 0.0000  1 Tm 2.86
Ho1 0.1198 0.8214 0.4007  4 Tm 3.21-3.49, 1 Ho 3.22
Ho2 0.4207 0.7192 0.5993  4 Tm 3.21-3.49, 1 Ho 3.22
Ho3 0.7192 0.1198 0.2984  4 Tm 3.21-3.49, 1 Ho 3.22
Ho4 0.8214 0.4207 0.7016  4 Tm 3.21-3.49, 1 Ho 3.22
Tm1 0.0405 0.1313 0.6228  4 Ho 3.21-3.49, 1 Tm 3.24, 1 Nd 3.26
Tm2 0.1313 0.5085 0.0909  4 Ho 3.21-3.49, 1 Tm 3.24, 1 Nd 3.26
Tm3 0.4177 0.0405 0.9091  4 Ho 3.21-3.49, 1 Tm 3.24, 1 Nd 3.26
Tm4 0.5085 0.4177 0.3772  4 Ho 3.21-3.49, 1 Tm 3.24, 1 Nd 3.26
Tm5 0.5429 0.5429 0.0000  1 Nd 2.86

Preferred: arrangement w; penalty for the next structure: 23.8 kJ/mol of atoms.

Arrangement w

DFT (GGA-PBE) results for a geometry-optimized Nd4Ho6Tm structure.

Computed properties:
Crystal system: tetragonal
Magnetization, μB per formula unit: 0.000

Unit cell a=9.7130 b=9.7130 c=9.7130 alpha=140.03 beta=140.03 gamma=57.81
Closest atoms and distances in Å follow each position.
Fractional positions:
Nd1 0.0137 0.6351 0.0000  5 Ho 3.40-3.61, 1 Tm 3.48, 1 Nd 3.56
Nd2 0.3649 0.3649 0.3786  5 Ho 3.40-3.61, 1 Tm 3.48, 1 Nd 3.56
Nd3 0.6351 0.0137 0.0000  5 Ho 3.40-3.61, 1 Tm 3.48, 1 Nd 3.56
Nd4 0.9863 0.9863 0.6214  5 Ho 3.40-3.61, 1 Tm 3.48, 1 Nd 3.56
Ho1 0.0000 0.5000 0.5000  4 Ho 3.24, 2 Tm 3.32
Ho2 0.1974 0.1974 0.6442  3 Ho 3.24-3.34, 5 Nd 3.40-3.61
Ho3 0.4468 0.8026 0.0000  3 Ho 3.24-3.34, 5 Nd 3.40-3.61
Ho4 0.5000 0.0000 0.5000  4 Ho 3.24, 2 Tm 3.32
Ho5 0.5532 0.5532 0.3558  3 Ho 3.24-3.34, 5 Nd 3.40-3.61
Ho6 0.8026 0.4468 0.0000  3 Ho 3.24-3.34, 5 Nd 3.40-3.61
Tm1 0.0000 0.0000 0.0000  8 Ho 3.32-3.69, 4 Nd 3.48

Arrangement x

DFT (GGA-PBE) results for a geometry-optimized Nd4Ho6Tm structure.

Computed properties:
Crystal system: hexagonal
Magnetization, μB per formula unit: 0.000

Unit cell a=11.0071 b=11.0071 c=3.5581 alpha=90.00 beta=90.00 gamma=120.00
Closest atoms and distances in Å follow each position.
Fractional positions:
Nd1 0.0000 0.0000 0.0000  9 Ho 3.36-3.43, 2 Nd 3.56
Nd2 0.5023 0.0046 0.5000  6 Ho 3.29-3.59, 2 Nd 3.56, 2 Tm 3.60
Nd3 0.5023 0.4977 0.5000  6 Ho 3.29-3.59, 2 Nd 3.56, 2 Tm 3.60
Nd4 0.9954 0.4977 0.5000  6 Ho 3.29-3.59, 2 Nd 3.56, 2 Tm 3.60
Ho1 0.1762 0.3524 0.0000  5 Nd 3.36-3.59, 6 Ho 3.56-3.63
Ho2 0.1762 0.8238 0.0000  5 Nd 3.36-3.59, 6 Ho 3.56-3.63
Ho3 0.3081 0.1541 0.5000  4 Nd 3.29-3.43, 6 Ho 3.56-3.63
Ho4 0.6476 0.8238 0.0000  5 Nd 3.36-3.59, 6 Ho 3.56-3.63
Ho5 0.8459 0.1541 0.5000  4 Nd 3.29-3.43, 6 Ho 3.56-3.63
Ho6 0.8459 0.6919 0.5000  4 Nd 3.29-3.43, 6 Ho 3.56-3.63
Tm1 0.6667 0.3333 0.0000  2 Tm 3.56, 6 Nd 3.60, 6 Ho 3.85

Preferred: arrangement x; penalty for the next structure: 12.3 kJ/mol of atoms.

Arrangement w

DFT (GGA-PBE) results for a geometry-optimized Nd2Ho3Tm7 structure.

Computed properties:
Crystal system: orthorhombic
Magnetization, μB per formula unit: 0.000

Unit cell a=18.9245 b=18.9245 c=3.5896 alpha=90.00 beta=90.00 gamma=162.91
Closest atoms and distances in Å follow each position.
Fractional positions:
Nd1 0.1467 0.8533 0.0000  3 Tm 3.13-3.38
Nd2 0.8533 0.1467 0.0000  3 Tm 3.13-3.38
Ho1 0.3137 0.6863 0.5000  2 Ho 3.59, 6 Tm 3.60-3.72, 4 Nd 3.65
Ho2 0.5000 0.5000 0.5000  4 Tm 3.34, 2 Ho 3.59
Ho3 0.6863 0.3137 0.5000  2 Ho 3.59, 6 Tm 3.60-3.72, 4 Nd 3.65
Tm1 0.0000 0.0000 0.0000  4 Tm 3.19, 4 Ho 3.34
Tm2 0.0703 0.9297 0.5000  6 Tm 3.19-3.41, 2 Nd 3.38
Tm3 0.2304 0.7696 0.0000  1 Nd 3.13, 2 Tm 3.17
Tm4 0.4114 0.5886 0.0000  6 Tm 3.41-3.59, 2 Nd 3.56, 2 Ho 3.77
Tm5 0.5886 0.4114 0.0000  6 Tm 3.41-3.59, 2 Nd 3.56, 2 Ho 3.77
Tm6 0.7696 0.2304 0.0000  1 Nd 3.13, 2 Tm 3.17
Tm7 0.9297 0.0703 0.5000  6 Tm 3.19-3.41, 2 Nd 3.38

Arrangement x

DFT (GGA-PBE) results for a geometry-optimized Nd2Ho3Tm7 structure.

Computed properties:
Crystal system: monoclinic
Magnetization, μB per formula unit: 0.000

Unit cell a=6.2821 b=3.4895 c=17.2911 alpha=90.00 beta=96.22 gamma=90.00
Closest atoms and distances in Å follow each position.
Fractional positions:
Nd1 0.0606 0.0000 0.1744  5 Tm 3.39-3.47, 2 Nd 3.49, 4 Ho 3.57-3.64
Nd2 0.9394 0.0000 0.8256  5 Tm 3.39-3.47, 2 Nd 3.49, 4 Ho 3.57-3.64
Ho1 0.4508 0.5000 0.8428  2 Ho 3.49, 7 Tm 3.55-3.72, 4 Nd 3.57-3.64
Ho2 0.5000 0.0000 0.5000  10 Tm 3.47-3.59, 2 Ho 3.49
Ho3 0.5492 0.5000 0.1572  2 Ho 3.49, 7 Tm 3.55-3.72, 4 Nd 3.57-3.64
Tm1 0.0000 0.5000 0.5000  8 Tm 3.45-3.52, 4 Ho 3.59
Tm2 0.2278 0.0000 0.6657  1 Nd 3.47, 8 Tm 3.49-3.60, 3 Ho 3.49-3.67
Tm3 0.2559 0.0000 0.9992  2 Tm 3.06-3.22, 2 Nd 3.39-3.42
Tm4 0.2753 0.5000 0.3377  7 Tm 3.45-3.60, 2 Nd 3.47, 3 Ho 3.47-3.72
Tm5 0.7247 0.5000 0.6623  7 Tm 3.45-3.60, 2 Nd 3.47, 3 Ho 3.47-3.72
Tm6 0.7441 0.0000 0.0008  2 Tm 3.06-3.22, 2 Nd 3.39-3.42
Tm7 0.7722 0.0000 0.3343  1 Nd 3.47, 8 Tm 3.49-3.60, 3 Ho 3.49-3.67

Preferred: arrangement x; penalty for the next structure: 2.9 kJ/mol of atoms.